Entry 1:
A plane-wave DFT calculation with PBE was carried out for a relaxed TaTlSi4 crystal.

Lattice parameters (Å, degrees): 5.167 5.167 5.167 60.00 60.00 60.00
Atoms (fractional coordinates):
Ta: 0.000 0.000 0.000
Tl: 0.750 0.750 0.750
Si: 0.374 0.374 0.374
Si: 0.374 0.374 0.879
Si: 0.374 0.879 0.374
Si: 0.879 0.374 0.374

Properties
Energy relative to the elements, uncorrected   0.517 eV/atom
DOS(E_F)   1.12 states/eV/atom
Total moment   0.000 μB per atom



Entry 2:
A plane-wave DFT calculation with PBE was carried out for a relaxed Ta2TlSi crystal.

Lattice parameters (Å, degrees): 5.135 5.135 5.135 138.69 122.92 72.87
Atoms (fractional coordinates):
Ta: 0.219 0.219 0.000
Ta: 0.781 0.781 0.000
Tl: 0.500 0.000 0.500
Si: 0.000 0.500 0.500

Properties
Energy relative to the elements, uncorrected   0.250 eV/atom
DOS(E_F)   0.60 states/eV/atom
Total moment   0.000 μB per atom



Entry 3:
A plane-wave DFT calculation with PBE was carried out for a relaxed TaTlSi2 crystal.

Lattice parameters (Å, degrees): 3.025 3.025 8.543 90.00 90.00 103.11
Atoms (fractional coordinates):
Ta: 0.000 0.000 0.000
Tl: 0.500 0.500 0.296
Si: 0.000 0.000 0.612
Si: 0.500 0.500 0.797

Properties
Energy relative to the elements, uncorrected   0.409 eV/atom
Polymorph energy (0 for the lowest one)   256 meV/atom
DOS(E_F)   0.37 states/eV/atom
Total moment   0.000 μB per atom



Entry 4:
A plane-wave DFT calculation with PBE was carried out for a relaxed TaTlSi2 crystal.

Lattice parameters (Å, degrees): 3.036 3.646 7.496 90.00 100.84 90.00
Atoms (fractional coordinates):
Ta: 0.000 0.000 0.000
Tl: 0.500 0.000 0.500
Si: 0.419 0.500 0.829
Si: 0.581 0.500 0.171

Properties
Energy relative to the elements, uncorrected   0.153 eV/atom
Polymorph energy (0 for the lowest one)   0 meV/atom
DOS(E_F)   0.63 states/eV/atom
Total moment   0.000 μB per atom



Entry 5:
A plane-wave DFT calculation with PBE was carried out for a relaxed TaTlSi3 crystal.

Lattice parameters (Å, degrees): 4.964 4.964 4.964 90.00 90.00 90.00
Atoms (fractional coordinates):
Ta: 0.000 0.000 0.000
Tl: 0.500 0.500 0.500
Si: 0.000 0.000 0.500
Si: 0.000 0.500 0.000
Si: 0.500 0.000 0.000

Properties
Energy relative to the elements, uncorrected   0.479 eV/atom
Polymorph energy (0 for the lowest one)   0 meV/atom
DOS(E_F)   0.38 states/eV/atom
Total moment   0.000 μB per atom



Entry 6:
A plane-wave DFT calculation with PBE was carried out for a relaxed Ta2TlSi crystal.

Lattice parameters (Å, degrees): 9.491 9.491 9.491 18.32 18.32 18.32
Atoms (fractional coordinates):
Ta: 0.243 0.243 0.243
Ta: 0.757 0.757 0.757
Tl: 0.000 0.000 0.000
Si: 0.500 0.500 0.500

Properties
Energy relative to the elements, uncorrected   0.310 eV/atom
DOS(E_F)   0.84 states/eV/atom
Total moment   0.000 μB per atom



The lowest DOS(E_F) belongs to which entry?
number 3



Among the records above, which one has the lowest DOS(E_F)?
number 3



Number 6 is which compound?
Ta2TlSi